Entry 1:
VASP calculation (PBE) on an optimized crystal structure of HCl.

Cell: 9.9144 9.9144 4.0334 Å, 90.00 90.00 90.00°
Last column: nearest neighbours and their distance in Å.
Space group I4/m (No. 87)
Inequivalent atoms, fractional coordinates:
H  0.1325  0.6338  0.0000 x8  1 Cl 1.29
Cl  0.0478  0.7331  0.0000 x8  1 H 1.29

Summary:
Crystal system ... tetragonal
Energy ... -0.114 hartree per atom
Total magnetic moment ... 0.00 μB per formula unit

=====

Entry 2:
VASP calculation (PBE) on an optimized crystal structure of Li2HoCd10.

Cell: 5.7380 13.8301 14.0582 Å, 90.00 90.00 90.00°
Last column: nearest neighbours and their distance in Å.
Space group Fmmm (No. 69)
Inequivalent atoms, fractional coordinates:
Li  0.2500  0.0000  0.2500 x8  8 Cd 2.80-2.89, 2 Li 2.87
Ho  0.0000  0.0000  0.0000 x4  16 Cd 3.40-3.74, 4 Li 3.80
Cd  0.0000  0.1030  0.3880 x16  2 Li 2.80, 4 Cd 2.85-3.08
Cd  0.0000  0.1662  0.1780 x16  2 Li 2.89, 6 Cd 3.08-3.14
Cd  0.2500  0.2500  0.0000 x8  10 Cd 2.87-3.11

Summary:
E_form ... -0.15 eV/atom
Crystal system ... orthorhombic
Total magnetic moment ... 0.00 μB per formula unit

=====

Entry 3:
VASP calculation (PBE) on an optimized crystal structure of Pr5InSb2.

Cell: 5.7925 9.9415 18.0514 Å, 90.00 90.00 90.00°
Last column: nearest neighbours and their distance in Å.
Space group Cmcm (No. 63)
Inequivalent atoms, fractional coordinates:
Pr  0.0000  0.0844  0.0788 x8  1 In 3.09, 4 Pr 3.22-3.42, 4 Sb 3.25-3.45
Pr  0.0000  0.2569  0.7500 x4  2 Sb 3.21, 3 In 3.32-3.35
Pr  0.0000  0.4053  0.1010 x8  3 Pr 3.22-3.42, 4 Sb 3.34-3.43
In  0.0000  0.0799  0.2500 x4  5 Pr 3.09-3.35
Sb  0.0000  0.2627  0.5723 x8  9 Pr 3.21-3.45

Summary:
Crystal system ... orthorhombic
Total magnetic moment ... 0.00 μB per formula unit
Uncorrected formation energy ... -0.541 eV per atom

=====

Entry 4:
VASP calculation (PBE) on an optimized crystal structure of La4SmIn.

Cell: 10.7452 6.2282 12.3742 Å, 90.00 107.21 90.00°
Last column: nearest neighbours and their distance in Å.
Space group C2/c (No. 15)
Inequivalent atoms, fractional coordinates:
La  0.0812  0.2487  0.4900 x8  7 La 3.56-3.66, 3 In 3.58-3.60, 2 Sm 3.65-3.66
La  0.1861  0.4316  0.2498 x8  2 Sm 3.39-3.44, 6 La 3.40-3.66, 2 In 3.54-3.57
Sm  0.0000  0.1192  0.7500 x4  8 La 3.39-3.66, 2 In 3.54
In  0.2500  0.2500  0.0000 x4  2 Sm 3.54, 10 La 3.54-3.60

Summary:
E_form ... -0.17 eV/atom
Crystal system ... monoclinic
Total magnetic moment ... 0.00 μB per formula unit

=====

Entry 5:
VASP calculation (PBE) on an optimized crystal structure of LaNd2ScBi4.

Cell: 7.8793 4.5659 7.8999 Å, 90.00 109.48 90.00°
Last column: nearest neighbours and their distance in Å.
Space group P2/m (No. 10)
Inequivalent atoms, fractional coordinates:
La  0.0000  0.0000  0.0000 x1  6 Bi 3.24
Nd  0.0000  0.5000  0.5000 x1  6 Bi 3.32
Nd  0.5000  0.0000  0.5000 x1  6 Bi 3.21
Sc  0.5000  0.5000  0.0000 x1  6 Bi 3.12-3.13
Bi  0.2603  0.5000  0.2454 x2  1 Sc 3.12, 3 Nd 3.21-3.32, 2 La 3.24
Bi  0.2664  0.0000  0.7636 x2  2 Sc 3.13, 3 Nd 3.21-3.32, 1 La 3.24

Summary:
E_form ... -0.87 eV/atom
Crystal system ... monoclinic
Total magnetic moment ... 0.00 μB per formula unit

=====

Entry 6:
VASP calculation (PBE) on an optimized crystal structure of KCr2N.

Cell: 8.9520 8.9520 8.9520 Å, 90.00 90.00 90.00°
Last column: nearest neighbours and their distance in Å.
Space group Fd-3m (No. 227, origin choice 2)
Inequivalent atoms, fractional coordinates:
K  0.1250  0.1250  0.1250 x8  12 Cr 3.71, 4 K 3.88, 4 N 3.88
Cr  0.0000  0.0000  0.5000 x16  2 N 1.94
N  0.1250  0.1250  0.6250 x8  4 Cr 1.94

Summary:
Crystal system ... cubic
Total magnetic moment ... 7.23 μB per formula unit
Uncorrected formation energy ... 0.352 eV per atom

=====

Entry 7:
VASP calculation (PBE) on an optimized crystal structure of FeRe2Se.

Cell: 2.8493 4.0040 5.2475 Å, 90.00 102.23 90.00°
Last column: nearest neighbours and their distance in Å.
Space group P2/m (No. 10)
Inequivalent atoms, fractional coordinates:
Fe  0.0000  0.0000  0.0000 x1  2 Se 2.62, 8 Re 2.69-2.82, 2 Fe 2.85
Re  0.3596  0.5000  0.7572 x2  1 Re 2.50, 2 Se 2.51, 2 Fe 2.69
Se  0.0000  0.0000  0.5000 x1  4 Re 2.51, 2 Fe 2.62

Summary:
Crystal system ... monoclinic
Total magnetic moment ... 1.47 μB per formula unit
Uncorrected formation energy ... 0.578 eV per atom

=====

Entry 8:
VASP calculation (PBE) on an optimized crystal structure of CeTmTlOs.

Cell: 7.2108 7.2108 7.2108 Å, 90.00 90.00 90.00°
Last column: nearest neighbours and their distance in Å.
Space group F-43m (No. 216)
Inequivalent atoms, fractional coordinates:
Ce  0.0000  0.0000  0.0000 x4  4 Tl 3.12, 4 Os 3.12
Tm  0.0000  0.0000  0.5000 x4  4 Tl 3.12, 4 Os 3.12
Tl  0.2500  0.2500  0.2500 x4  4 Ce 3.12, 4 Tm 3.12
Os  0.2500  0.2500  0.7500 x4  4 Ce 3.12, 4 Tm 3.12

Summary:
E_form ... -0.08 eV/atom
Crystal system ... cubic
Total magnetic moment ... 0.45 μB per formula unit